[1]
# CsTcNi, relaxed, DFT PBE
data_CsTcNi
_space_group_name_H-M_alt 'P 1'
_space_group_IT_number 1
_cell_length_a 4.1412
_cell_length_b 4.1435
_cell_length_c 12.5112
_cell_angle_alpha 90.12
_cell_angle_beta 83.83
_cell_angle_gamma 120.01
loop_
_space_group_symop_operation_xyz
'x,y,z'
loop_
_atom_site_label
_atom_site_type_symbol
_atom_site_fract_x
_atom_site_fract_y
_atom_site_fract_z
Cs1 Cs 0.5735 0.7954 0.3210
Cs2 Cs 0.6526 0.3407 0.9148
Tc1 Tc 0.1500 0.0840 0.5359
Tc2 Tc 0.7831 0.4005 0.6163
Ni1 Ni 0.4388 0.7286 0.6422
Ni2 Ni 0.0713 0.0450 0.7238
# energy relative to the lowest polymorph listed for this composition	58	meV/atom


[2]
# CsTcNi3, relaxed, DFT PBE
data_CsTcNi3
_space_group_name_H-M_alt 'P 1'
_space_group_IT_number 1
_cell_length_a 4.7244
_cell_length_b 4.7244
_cell_length_c 4.7244
_cell_angle_alpha 90.00
_cell_angle_beta 90.00
_cell_angle_gamma 90.00
loop_
_space_group_symop_operation_xyz
'x,y,z'
loop_
_atom_site_label
_atom_site_type_symbol
_atom_site_fract_x
_atom_site_fract_y
_atom_site_fract_z
Ni1 Ni 0.0000 0.5000 0.0000
Ni2 Ni 0.0000 0.0000 0.5000
Ni3 Ni 0.5000 0.0000 0.0000
Cs1 Cs 0.5000 0.5000 0.5000
Tc1 Tc 0.0000 0.0000 0.0000
# energy relative to the lowest polymorph listed for this composition	0	meV/atom


[3]
# CsTc3Ni, relaxed, DFT PBE
data_CsTc3Ni
_space_group_name_H-M_alt 'P 1'
_space_group_IT_number 1
_cell_length_a 4.7717
_cell_length_b 4.7717
_cell_length_c 4.7717
_cell_angle_alpha 90.00
_cell_angle_beta 90.00
_cell_angle_gamma 90.00
loop_
_space_group_symop_operation_xyz
'x,y,z'
loop_
_atom_site_label
_atom_site_type_symbol
_atom_site_fract_x
_atom_site_fract_y
_atom_site_fract_z
Tc1 Tc 0.0000 0.0000 0.5000
Tc2 Tc 0.5000 0.0000 0.0000
Tc3 Tc 0.0000 0.5000 0.0000
Ni1 Ni 0.0000 0.0000 0.0000
Cs1 Cs 0.5000 0.5000 0.5000
# total energy	-28.2	eV for the cell shown


[4]
# CsTcNi, relaxed, DFT PBE
data_CsTcNi
_space_group_name_H-M_alt 'P 1'
_space_group_IT_number 1
_cell_length_a 8.7749
_cell_length_b 3.6473
_cell_length_c 11.4602
_cell_angle_alpha 90.00
_cell_angle_beta 90.00
_cell_angle_gamma 90.00
loop_
_space_group_symop_operation_xyz
'x,y,z'
loop_
_atom_site_label
_atom_site_type_symbol
_atom_site_fract_x
_atom_site_fract_y
_atom_site_fract_z
Cs1 Cs 0.5577 0.7500 0.3221
Cs2 Cs 0.0577 0.7500 0.1779
Cs3 Cs 0.9423 0.2500 0.8221
Cs4 Cs 0.4423 0.2500 0.6779
Tc1 Tc 0.4196 0.2500 0.0264
Tc2 Tc 0.5804 0.7500 0.9736
Tc3 Tc 0.9196 0.2500 0.4736
Tc4 Tc 0.0804 0.7500 0.5264
Ni1 Ni 0.1973 0.2500 0.4205
Ni2 Ni 0.6973 0.2500 0.0795
Ni3 Ni 0.8027 0.7500 0.5795
Ni4 Ni 0.3027 0.7500 0.9205
# energy relative to the lowest polymorph listed for this composition	356	meV/atom


[5]
# CsTcNi, relaxed, DFT PBE
data_CsTcNi
_space_group_name_H-M_alt 'P 1'
_space_group_IT_number 1
_cell_length_a 18.0165
_cell_length_b 9.3862
_cell_length_c 9.3862
_cell_angle_alpha 156.85
_cell_angle_beta 159.54
_cell_angle_gamma 20.46
loop_
_space_group_symop_operation_xyz
'x,y,z'
loop_
_atom_site_label
_atom_site_type_symbol
_atom_site_fract_x
_atom_site_fract_y
_atom_site_fract_z
Ni1 Ni 0.1791 0.5012 0.4988
Ni2 Ni 0.4162 0.1641 0.8359
Cs1 Cs 0.7373 0.5045 0.4955
Cs2 Cs 0.3647 0.5528 0.4472
Tc1 Tc 0.8404 0.7277 0.2723
Tc2 Tc 0.1186 0.9706 0.0294
# energy relative to the lowest polymorph listed for this composition	239	meV/atom


[6]
# CsTl2TcNi, relaxed, DFT PBE
data_CsTl2TcNi
_space_group_name_H-M_alt 'P 1'
_space_group_IT_number 1
_cell_length_a 5.5105
_cell_length_b 4.7045
_cell_length_c 5.5105
_cell_angle_alpha 90.00
_cell_angle_beta 90.00
_cell_angle_gamma 90.00
loop_
_space_group_symop_operation_xyz
'x,y,z'
loop_
_atom_site_label
_atom_site_type_symbol
_atom_site_fract_x
_atom_site_fract_y
_atom_site_fract_z
Ni1 Ni 0.0000 0.5000 0.0000
Tl1 Tl 0.5000 0.0000 0.0000
Tl2 Tl 0.0000 0.0000 0.5000
Cs1 Cs 0.5000 0.5000 0.5000
Tc1 Tc 0.0000 0.0000 0.0000
# total energy	-19.1	eV for the cell shown